No. 1
Here is an optimized crystal structure of TaCu2As from Alexandria. Energies are from PBE.

Lattice parameters (Å, degrees): 2.8889 2.8889 25.6858 90.00 90.00 120.00
Last column: nearest neighbours and their distance in Å.
Space group R3m (No. 160, hexagonal axes)
One atom of each set of equivalent atoms:
1 Ta 0.0000 0.0000 0.0000  3 Cu 2.77, 3 As 2.77, 6 Ta 2.89
2 Cu 0.0000 0.0000 0.4952  3 Cu 2.56, 3 As 2.75
3 Cu 0.0000 0.0000 0.7527  3 Cu 2.56, 3 Ta 2.77
4 As 0.0000 0.0000 0.2471  3 Cu 2.75, 3 Ta 2.77, 6 As 2.89

Summary:
Crystal system: trigonal
Formation energy from the elements: 0.176 eV per atom

No. 2
Here is an optimized crystal structure of Ac9SmY2 from Alexandria. Energies are from PBE.

Lattice parameters (Å, degrees): 5.5015 5.5015 16.5135 90.00 90.00 90.00
Last column: nearest neighbours and their distance in Å.
Space group P4/mmm (No. 123)
One atom of each set of equivalent atoms:
1 Ac 0.0000 0.0000 0.0000  4 Sm 3.89, 8 Ac 3.90
2 Ac 0.0000 0.0000 0.3336  8 Ac 3.89, 4 Y 3.89
3 Ac 0.0000 0.5000 0.1673  8 Ac 3.89-3.90, 2 Y 3.89, 2 Sm 3.90
4 Ac 0.0000 0.5000 0.5000  4 Y 3.88, 8 Ac 3.89
5 Sm 0.5000 0.5000 0.0000  12 Ac 3.89-3.90
6 Y 0.5000 0.5000 0.3339  12 Ac 3.88-3.89

Summary:
Crystal system: tetragonal
Formation energy from the elements: 0.027 eV per atom

No. 3
Here is an optimized crystal structure of Th2As4PtRh3 from Alexandria. Energies are from PBE.

Lattice parameters (Å, degrees): 4.4091 4.4091 9.6988 90.00 90.00 90.00
Last column: nearest neighbours and their distance in Å.
Space group P-4m2 (No. 115)
One atom of each set of equivalent atoms:
1 Th 0.0000 0.5000 0.2489  8 As 3.27-3.31, 7 Rh 3.29-3.53, 2 Pt 3.29
2 As 0.0000 0.0000 0.0000  4 Rh 2.47
3 As 0.0000 0.5000 0.6354  3 Rh 2.42-2.57, 2 Pt 2.57
4 As 0.5000 0.5000 0.0000  4 Rh 2.47
5 Pt 0.0000 0.0000 0.5000  4 As 2.57
6 Rh 0.0000 0.5000 0.8846  5 As 2.42-2.47
7 Rh 0.5000 0.5000 0.5000  4 As 2.57

Summary:
Crystal system: tetragonal
Formation energy from the elements: -0.925 eV per atom

No. 4
Here is an optimized crystal structure of Ca2F13 from Alexandria. Energies are from PBE.

Lattice parameters (Å, degrees): 7.2893 7.2893 16.2451 90.00 90.00 120.00
Last column: nearest neighbours and their distance in Å.
Space group R-3m (No. 166, hexagonal axes)
One atom of each set of equivalent atoms:
1 Ca 0.0000 0.0000 0.1305  4 F 2.12-2.37
2 F 0.0000 0.0000 0.0000  2 Ca 2.12
3 F 0.0398 0.5199 0.4451  2 F 1.85-1.94
4 F 0.1062 0.2123 0.6632  1 F 1.94

Summary:
Crystal system: trigonal
ΔE_f (raw): -1.235 eV/atom

No. 5
Here is an optimized crystal structure of Ba2BAsPd6 from Alexandria. Energies are from PBE.

Lattice parameters (Å, degrees): 10.5510 6.1123 7.1554 90.00 119.44 90.00
Last column: nearest neighbours and their distance in Å.
Space group C2/m (No. 12)
One atom of each set of equivalent atoms:
1 Ba 0.2199 0.0000 0.1610  12 Pd 3.22-3.60
2 B 0.0000 0.0000 0.5000  6 Pd 2.14-2.15
3 As 0.0000 0.5000 0.0000  6 Pd 2.63-2.64
4 Pd 0.0305 0.2639 0.3278  1 B 2.15
5 Pd 0.2332 0.0000 0.6732  1 B 2.14

Summary:
Crystal system: monoclinic
Formation energy from the elements: -0.556 eV per atom

No. 6
Here is an optimized crystal structure of TbTeRh from Alexandria. Energies are from PBE.

Lattice parameters (Å, degrees): 4.4810 4.4810 3.8853 90.00 90.00 120.00
Last column: nearest neighbours and their distance in Å.
Space group P3m1 (No. 156)
One atom of each set of equivalent atoms:
1 Tb 0.0000 0.0000 0.0000  6 Rh 3.13-3.35, 6 Te 3.21-3.26
2 Te 0.6667 0.3333 0.4886  3 Rh 2.60
3 Rh 0.3333 0.6667 0.5471  3 Te 2.60

Summary:
Crystal system: trigonal
ΔE_f (raw): -1.002 eV/atom